Entry 1:
The following is a DFT calculation (PBE-GGA) of a relaxed structure of TaCuH2Br.

Properties
The energy comes out at -4.0749 eV/atom. For the density of states at the Fermi level, the calculation gives 3.69 states/eV per cell.

```
data_TaCuH2Br
_space_group_name_H-M_alt 'P 4/m m m'
_space_group_IT_number 123
_space_group_name_Hall '-P 4 2'
_cell_length_a 3.643
_cell_length_b 3.643
_cell_length_c 5.219
_cell_angle_alpha 90.00
_cell_angle_beta 90.00
_cell_angle_gamma 90.00
loop_
_atom_site_label
_atom_site_fract_x
_atom_site_fract_y
_atom_site_fract_z
Ta1 0.000 0.000 0.000
Cu1 0.000 0.000 0.500
H1 0.000 0.500 0.500
Br1 0.500 0.500 0.000
```

***

Entry 2:
The following is a DFT calculation (PBE-GGA) of a relaxed structure of La5Tl2Rh2Au.

Properties
As for the formation energy: -6.280 eV per formula unit. The energy comes out at -5.3630 eV/atom. For the density of states at the Fermi level, the calculation gives 12.70 states/eV per cell.

```
data_La5Tl2Rh2Au
_space_group_name_H-M_alt 'P 4/m b m'
_space_group_IT_number 127
_space_group_name_Hall '-P 4 2ab'
_cell_length_a 12.174
_cell_length_b 12.174
_cell_length_c 3.835
_cell_angle_alpha 90.00
_cell_angle_beta 90.00
_cell_angle_gamma 90.00
loop_
_atom_site_label
_atom_site_fract_x
_atom_site_fract_y
_atom_site_fract_z
La1 0.000 0.500 0.000
La2 0.074 0.203 0.000
Tl1 0.176 0.676 0.500
Rh1 0.135 0.365 0.500
Au1 0.000 0.000 0.500
```

***

Entry 3:
The following is a DFT calculation (PBE-GGA) of a relaxed structure of Ba5As2PH.

Properties
The energy comes out at -4.0037 eV/atom.

```
data_Ba5As2PH
_space_group_name_H-M_alt 'C m c 21'
_space_group_IT_number 36
_space_group_name_Hall 'C 2c -2'
_cell_length_a 4.716
_cell_length_b 19.268
_cell_length_c 13.670
_cell_angle_alpha 90.00
_cell_angle_beta 90.00
_cell_angle_gamma 90.00
loop_
_atom_site_label
_atom_site_fract_x
_atom_site_fract_y
_atom_site_fract_z
Ba1 0.000 0.014 0.000
Ba2 0.000 0.139 0.703
Ba3 0.000 0.203 0.355
Ba4 0.000 0.208 0.041
Ba5 0.000 0.462 0.764
As1 0.000 0.381 0.383
As2 0.000 0.388 0.998
P1 0.000 0.306 0.695
H1 0.000 0.008 0.195
```

***

Entry 4:
The following is a DFT calculation (PBE-GGA) of a relaxed structure of K2AgGeSe4.

Properties
The energy comes out at -3.5538 eV/atom. As for the formation energy (no corrections): -0.6036 eV/atom. For the density of states at the Fermi level, the calculation gives 17.95 states/eV per cell.

```
data_K2AgGeSe4
_space_group_name_H-M_alt 'I -4 2 m'
_space_group_IT_number 121
_space_group_name_Hall 'I -4 2'
_cell_length_a 8.030
_cell_length_b 8.030
_cell_length_c 7.077
_cell_angle_alpha 90.00
_cell_angle_beta 90.00
_cell_angle_gamma 90.00
loop_
_atom_site_label
_atom_site_fract_x
_atom_site_fract_y
_atom_site_fract_z
K1 0.000 0.500 0.000
Ag1 0.000 0.000 0.000
Ge1 0.000 0.000 0.500
Se1 0.162 0.162 0.282
```

***

Entry 5:
The following is a DFT calculation (PBE-GGA) of a relaxed structure of YScNb2.

Properties
As for the formation energy: 1.841 eV per formula unit. The energy comes out at -7.7735 eV/atom. The relative energy among the computed polymorphs is 0.00 eV per formula unit. For the density of states at the Fermi level, the calculation gives 35.49 states/eV per cell.

```
data_YScNb2
_space_group_name_H-M_alt 'F m -3 m'
_space_group_IT_number 225
_space_group_name_Hall '-F 4 2 3'
_cell_length_a 7.036
_cell_length_b 7.036
_cell_length_c 7.036
_cell_angle_alpha 90.00
_cell_angle_beta 90.00
_cell_angle_gamma 90.00
loop_
_atom_site_label
_atom_site_fract_x
_atom_site_fract_y
_atom_site_fract_z
Y1 0.000 0.000 0.000
Sc1 0.000 0.000 0.500
Nb1 0.250 0.250 0.250
```

***

Entry 6:
The following is a DFT calculation (PBE-GGA) of a relaxed structure of Cr2AgPd9.

Properties
As for the formation energy: -0.625 eV per formula unit. The energy comes out at -5.7882 eV/atom. For the density of states at the Fermi level, the calculation gives 21.56 states/eV per cell.

```
data_Cr2AgPd9
_space_group_name_H-M_alt 'P 4/m m m'
_space_group_IT_number 123
_space_group_name_Hall '-P 4 2'
_cell_length_a 3.935
_cell_length_b 3.935
_cell_length_c 11.841
_cell_angle_alpha 90.00
_cell_angle_beta 90.00
_cell_angle_gamma 90.00
loop_
_atom_site_label
_atom_site_fract_x
_atom_site_fract_y
_atom_site_fract_z
Cr1 0.000 0.000 0.165
Ag1 0.000 0.000 0.500
Pd1 0.000 0.500 0.000
Pd2 0.000 0.500 0.325
Pd3 0.500 0.500 0.163
Pd4 0.500 0.500 0.500
```

***

Q: Look up the energy of the first one.
A: -4.0749 eV/atom

***

Q: Number 2 is which compound?
A: La5Tl2Rh2Au

***

Q: The lowest energy belongs to which entry?
A: YScNb2